TbTmSbO2: optimized geometry, PBE.

```
data_TbTmSbO2
_chemical_formula_sum 'Tb2 Tm2 Sb2 O4'
_cell_length_a 3.8376
_cell_length_b 3.8376
_cell_length_c 13.3031
_cell_angle_alpha 90.00
_cell_angle_beta 90.00
_cell_angle_gamma 90.00
_symmetry_space_group_name_H-M 'I 4 m m'
_symmetry_Int_Tables_number 107
_symmetry_space_group_name_Hall 'I 4 -2'
loop_
_atom_site_label
_atom_site_type_symbol
_atom_site_fract_x
_atom_site_fract_y
_atom_site_fract_z
_atom_site_occupancy
Tb1 Tb 0.0000 0.0000 0.0000 1
Tm1 Tm 0.0000 0.0000 0.3325 1
Sb1 Sb 0.0000 0.0000 0.6669 1
O1 O 0.0000 0.5000 0.4128 1
```

theoretical density	8.16	Mg/m³
total moment	0.0	μB per cell
E_form (uncorrected)	-2.7281	eV/atom
DOS(E_F)	2.556	states/eV per cell


Nb3BH: optimized geometry, PBE.

```
data_Nb3BH
_chemical_formula_sum 'Nb3 B1 H1'
_cell_length_a 4.0130
_cell_length_b 4.0130
_cell_length_c 4.0130
_cell_angle_alpha 90.00
_cell_angle_beta 90.00
_cell_angle_gamma 90.00
_symmetry_space_group_name_H-M 'P m -3 m'
_symmetry_Int_Tables_number 221
_symmetry_space_group_name_Hall '-P 4 2 3'
loop_
_atom_site_label
_atom_site_type_symbol
_atom_site_fract_x
_atom_site_fract_y
_atom_site_fract_z
_atom_site_occupancy
Nb1 Nb 0.0000 0.0000 0.5000 1
B1 B 0.5000 0.5000 0.5000 1
H1 H 0.0000 0.0000 0.0000 1
```

theoretical density	7.47	Mg/m³
calculated total energy	-7.860	eV/atom
total moment	0.0	μB per cell
DOS(E_F)	3.189	states/eV per cell


Ce8Ir3PtBr4: optimized geometry, PBE.

```
data_Ce8Ir3PtBr4
_chemical_formula_sum 'Ce24 Ir9 Pt3 Br12'
_cell_length_a 8.2693
_cell_length_b 8.2693
_cell_length_c 22.8790
_cell_angle_alpha 90.00
_cell_angle_beta 90.00
_cell_angle_gamma 120.00
_symmetry_space_group_name_H-M 'R -3 m'
_symmetry_Int_Tables_number 166
_symmetry_space_group_name_Hall '-R 3 2"'
loop_
_atom_site_label
_atom_site_type_symbol
_atom_site_fract_x
_atom_site_fract_y
_atom_site_fract_z
_atom_site_occupancy
Ce1 Ce 0.0000 0.0000 0.2329 1
Ce2 Ce 0.0066 0.5033 0.7670 1
Ir1 Ir 0.0000 0.5000 0.5000 1
Pt1 Pt 0.0000 0.0000 0.5000 1
Br1 Br 0.0000 0.0000 0.0000 1
Br2 Br 0.0000 0.5000 0.0000 1
```

theoretical density	8.13	Mg/m³
total moment	23.5	μB per cell
E_form (uncorrected)	-1.0782	eV/atom
DOS(E_F)	147.678	states/eV per cell


SrIr3S: optimized geometry, PBE.

```
data_SrIr3S
_chemical_formula_sum 'Sr1 Ir3 S1'
_cell_length_a 5.0738
_cell_length_b 5.0738
_cell_length_c 5.0738
_cell_angle_alpha 90.00
_cell_angle_beta 90.00
_cell_angle_gamma 90.00
_symmetry_space_group_name_H-M 'P m -3 m'
_symmetry_Int_Tables_number 221
_symmetry_space_group_name_Hall '-P 4 2 3'
loop_
_atom_site_label
_atom_site_type_symbol
_atom_site_fract_x
_atom_site_fract_y
_atom_site_fract_z
_atom_site_occupancy
Sr1 Sr 0.0000 0.0000 0.0000 1
Ir1 Ir 0.0000 0.0000 0.5000 1
S1 S 0.5000 0.5000 0.5000 1
```

theoretical density	8.85	Mg/m³
total moment	4.1	μB per cell
E_form (uncorrected)	3.0391	eV/atom
DOS(E_F)	10.034	states/eV per cell


AcDyI2: optimized geometry, PBE.

```
data_AcDyI2
_chemical_formula_sum 'Ac3 Dy3 I6'
_cell_length_a 3.9458
_cell_length_b 3.9458
_cell_length_c 33.5631
_cell_angle_alpha 90.00
_cell_angle_beta 90.00
_cell_angle_gamma 120.00
_symmetry_space_group_name_H-M 'R -3 m'
_symmetry_Int_Tables_number 166
_symmetry_space_group_name_Hall '-R 3 2"'
loop_
_atom_site_label
_atom_site_type_symbol
_atom_site_fract_x
_atom_site_fract_y
_atom_site_fract_z
_atom_site_occupancy
Ac1 Ac 0.0000 0.0000 0.0000 1
Dy1 Dy 0.0000 0.0000 0.5000 1
I1 I 0.0000 0.0000 0.1027 1
```

theoretical density	7.08	Mg/m³
total moment	2.1	μB per cell
E_form (uncorrected)	-0.7233	eV/atom
DOS(E_F)	12.255	states/eV per cell


Mn2CoPd: optimized geometry, PBE.

```
data_Mn2CoPd
_chemical_formula_sum 'Mn8 Co4 Pd4'
_cell_length_a 6.0120
_cell_length_b 6.0120
_cell_length_c 6.0120
_cell_angle_alpha 90.00
_cell_angle_beta 90.00
_cell_angle_gamma 90.00
_symmetry_space_group_name_H-M 'F m -3 m'
_symmetry_Int_Tables_number 225
_symmetry_space_group_name_Hall '-F 4 2 3'
loop_
_atom_site_label
_atom_site_type_symbol
_atom_site_fract_x
_atom_site_fract_y
_atom_site_fract_z
_atom_site_occupancy
Mn1 Mn 0.2500 0.2500 0.2500 1
Co1 Co 0.0000 0.0000 0.0000 1
Pd1 Pd 0.0000 0.0000 0.5000 1
```

theoretical density	8.41	Mg/m³
total moment	36.4	μB per cell
energy relative to the elements	-0.0114	eV/atom
DOS(E_F)	8.147	states/eV per cell


Tl2PHS4: optimized geometry, PBE.

```
data_Tl2PHS4
_chemical_formula_sum 'Tl8 P4 H4 S16'
_cell_length_a 11.4812
_cell_length_b 9.9739
_cell_length_c 8.0521
_cell_angle_alpha 90.00
_cell_angle_beta 134.35
_cell_angle_gamma 90.00
_symmetry_space_group_name_H-M 'C 1 2/c 1'
_symmetry_Int_Tables_number 15
loop_
_symmetry_equiv_pos_as_xyz
'x,y,z'
'-x,-y,-z'
'-x,y,-z+1/2'
'x,-y,z+1/2'
'x+1/2,y+1/2,z'
'-x+1/2,-y+1/2,-z'
'-x+1/2,y+1/2,-z+1/2'
'x+1/2,-y+1/2,z+1/2'
loop_
_atom_site_label
_atom_site_type_symbol
_atom_site_fract_x
_atom_site_fract_y
_atom_site_fract_z
_atom_site_occupancy
Tl1 Tl 0.0000 0.0000 0.0000 1
Tl2 Tl 0.2500 0.2500 0.0000 1
P1 P 0.0000 0.5000 0.0000 1
H1 H 0.2500 0.2500 0.5000 1
S1 S 0.0000 0.2713 0.5299 1
S2 S 0.2089 0.4300 0.4596 1
```

theoretical density	5.73	Mg/m³
calculated total energy	-3.537	eV/atom
total moment	0.0	μB per cell
DOS(E_F)	11.394	states/eV per cell


Nd3Sm2In2: optimized geometry, PBE.

```
data_Nd3Sm2In2
_chemical_formula_sum 'Nd6 Sm4 In4'
_cell_length_a 17.2020
_cell_length_b 3.5667
_cell_length_c 8.1319
_cell_angle_alpha 90.00
_cell_angle_beta 118.07
_cell_angle_gamma 90.00
_symmetry_space_group_name_H-M 'C 1 2/m 1'
_symmetry_Int_Tables_number 12
loop_
_symmetry_equiv_pos_as_xyz
'x,y,z'
'-x,-y,-z'
'-x,y,-z'
'x,-y,z'
'x+1/2,y+1/2,z'
'-x+1/2,-y+1/2,-z'
'-x+1/2,y+1/2,-z'
'x+1/2,-y+1/2,z'
loop_
_atom_site_label
_atom_site_type_symbol
_atom_site_fract_x
_atom_site_fract_y
_atom_site_fract_z
_atom_site_occupancy
Nd1 Nd 0.0000 0.0000 0.0000 1
Nd2 Nd 0.2105 0.0000 0.1302 1
Sm1 Sm 0.1271 0.0000 0.4725 1
In1 In 0.0680 0.5000 0.7401 1
```

theoretical density	7.27	Mg/m³
total moment	0.0	μB per cell
energy relative to the elements	-0.1401	eV/atom
DOS(E_F)	17.109	states/eV per cell